Entry from Alexandria via LeMat-Bulk: a relaxed structure of Cr2OsRh (GGA-PBE).

abc: 8.6990 8.6990 8.6990
angles: 17.68 17.68 17.68
Closest atoms and distances in Å follow each position.
Positions (direct):
Cr  0.9996  0.9996  0.9996  3 Rh 2.54, 9 Cr 2.62-2.67
Os  0.5051  0.5051  0.5051  3 Cr 2.55, 6 Os 2.67
Rh  0.7446  0.7446  0.7446  3 Cr 2.54, 6 Rh 2.67
Cr  0.2507  0.2507  0.2507  3 Os 2.55, 9 Cr 2.62-2.67

D(E_F): 5.13 states/eV per cell
relative energy among the computed polymorphs: 111 meV per atom
energy relative to the elements: 137 meV per atom

Entry from Alexandria via LeMat-Bulk: a relaxed structure of Cr2OsRh8 (GGA-PBE).

abc: 4.2111 7.1007 6.6510
angles: 116.32 99.44 106.61
Closest atoms and distances in Å follow each position.
Positions (direct):
Rh  0.7288  0.2288  0.4575  2 Cr 2.34, 1 Os 2.57
Rh  0.6954  0.3790  0.0000  2 Cr 2.44, 1 Os 2.58, 2 Rh 2.65-2.70
Rh  0.2712  0.7712  0.5425  2 Cr 2.34, 1 Os 2.57
Rh  0.3046  0.6210  0.0000  2 Cr 2.44, 1 Os 2.58, 2 Rh 2.65-2.70
Cr  0.3189  0.3189  0.6379  8 Rh 2.34-2.60
Cr  0.6811  0.6811  0.3621  8 Rh 2.34-2.60
Os  0.5000  0.0000  0.0000  8 Rh 2.57-2.83
Rh  0.2263  0.3221  0.2437  2 Cr 2.39-2.60
Rh  0.7737  0.6779  0.7563  2 Cr 2.39-2.60
Rh  0.9826  0.0784  0.7563  2 Cr 2.39-2.60
Rh  0.0174  0.9216  0.2437  2 Cr 2.39-2.60

D(E_F): 14.48 states/eV per cell
relative energy among the computed polymorphs: 68 meV per atom
energy relative to the elements: 236 meV per atom

Entry from Alexandria via LeMat-Bulk: a relaxed structure of Cr2OsRh2 (GGA-PBE).

abc: 7.0778 7.0778 2.6881
angles: 90.00 90.00 90.00
Closest atoms and distances in Å follow each position.
Positions (direct):
Rh  0.1794  0.6794  0.5000  6 Cr 2.46-2.52, 2 Rh 2.69
Cr  0.8858  0.6142  0.0000  1 Cr 2.29, 6 Rh 2.46-2.52
Cr  0.3858  0.8858  0.0000  1 Cr 2.29, 6 Rh 2.46-2.52
Rh  0.8206  0.3206  0.5000  6 Cr 2.46-2.52, 2 Rh 2.69
Os  0.5000  0.5000  0.0000  2 Os 2.69, 4 Cr 2.85, 8 Rh 2.93
Cr  0.1142  0.3858  0.0000  1 Cr 2.29, 6 Rh 2.46-2.52
Os  0.0000  0.0000  0.0000  2 Os 2.69, 4 Cr 2.85, 8 Rh 2.93
Cr  0.6142  0.1142  0.0000  1 Cr 2.29, 6 Rh 2.46-2.52
Rh  0.6794  0.8206  0.5000  6 Cr 2.46-2.52, 2 Rh 2.69
Rh  0.3206  0.1794  0.5000  6 Cr 2.46-2.52, 2 Rh 2.69

D(E_F): 15.87 states/eV per cell
relative energy among the computed polymorphs: 187 meV per atom
energy relative to the elements: 216 meV per atom

Entry from Alexandria via LeMat-Bulk: a relaxed structure of Cr2OsRh (GGA-PBE).

abc: 2.6796 4.6346 5.2925
angles: 54.23 90.00 90.00
Closest atoms and distances in Å follow each position.
Positions (direct):
Cr  0.0000  0.0000  0.0000  4 Os 2.65, 2 Rh 2.65, 6 Cr 2.68
Os  0.5000  0.5000  0.5000  6 Cr 2.65, 4 Rh 2.68, 2 Os 2.68
Cr  0.5000  0.5000  0.0000  4 Rh 2.65, 2 Os 2.65, 6 Cr 2.68
Rh  0.0000  0.0000  0.5000  6 Cr 2.65, 4 Os 2.68, 2 Rh 2.68

D(E_F): 4.73 states/eV per cell
relative energy among the computed polymorphs: 55 meV per atom
energy relative to the elements: 81 meV per atom

Entry from Alexandria via LeMat-Bulk: a relaxed structure of Cr2OsRh (GGA-PBE).

abc: 5.5393 5.5393 6.3086
angles: 63.96 63.96 90.00
Closest atoms and distances in Å follow each position.
Positions (direct):
Os  0.7500  0.2500  0.5000  4 Cr 2.32
Os  0.0000  0.0000  0.0000  4 Cr 2.32
Cr  0.8750  0.8742  0.7500  2 Rh 2.31, 2 Os 2.32
Cr  0.3750  0.3758  0.7500  2 Rh 2.31, 2 Os 2.32
Rh  0.2500  0.7500  0.5000  4 Cr 2.31
Cr  0.6242  0.1250  0.2500  2 Rh 2.31, 2 Os 2.32
Cr  0.1258  0.6250  0.2500  2 Rh 2.31, 2 Os 2.32
Rh  0.5000  0.5000  0.0000  4 Cr 2.31

D(E_F): 13.14 states/eV per cell
relative energy among the computed polymorphs: 1203 meV per atom
energy relative to the elements: 1229 meV per atom

Entry from Alexandria via LeMat-Bulk: a relaxed structure of Cr2OsRh (GGA-PBE).

abc: 3.6905 2.6577 5.9706
angles: 63.49 90.00 90.00
Closest atoms and distances in Å follow each position.
Positions (direct):
Os  0.5000  0.2500  0.2500  8 Cr 2.62, 2 Os 2.66, 2 Rh 2.67
Cr  0.0000  0.9927  0.0075  4 Cr 2.59-2.75, 4 Os 2.62, 4 Rh 2.66
Cr  0.0000  0.5073  0.4925  4 Cr 2.59-2.75, 4 Os 2.62, 4 Rh 2.66
Rh  0.5000  0.7500  0.7500  8 Cr 2.66, 2 Rh 2.66, 2 Os 2.67

D(E_F): 5.01 states/eV per cell
relative energy among the computed polymorphs: 10 meV per atom
energy relative to the elements: 35 meV per atom

Entry from Alexandria via LeMat-Bulk: a relaxed structure of CrOsRh (GGA-PBE).

abc: 4.0205 4.0205 4.0205
angles: 60.00 60.00 60.00
Closest atoms and distances in Å follow each position.
Positions (direct):
Cr  0.7500  0.7500  0.7500  4 Os 2.46, 4 Rh 2.46
Rh  0.5000  0.5000  0.5000  4 Cr 2.46
Os  0.0000  0.0000  0.0000  4 Cr 2.46

D(E_F): 3.43 states/eV per cell
relative energy among the computed polymorphs: 437 meV per atom
energy relative to the elements: 398 meV per atom

Entry from Alexandria via LeMat-Bulk: a relaxed structure of CrOs2Rh4 (GGA-PBE).

abc: 4.5994 7.0431 4.5975
angles: 130.70 108.19 78.32
Closest atoms and distances in Å follow each position.
Positions (direct):
Rh  0.0003  0.2548  0.7547  4 Rh 2.62-2.72, 4 Os 2.64-2.67, 2 Cr 2.67
Rh  0.9997  0.7452  0.2453  4 Rh 2.62-2.72, 4 Os 2.64-2.67, 2 Cr 2.67
Rh  0.4988  0.7455  0.7453  4 Rh 2.62-2.72, 4 Os 2.64-2.67, 2 Cr 2.67
Rh  0.5012  0.2545  0.2547  4 Rh 2.62-2.72, 4 Os 2.64-2.67, 2 Cr 2.67
Os  0.5000  0.0000  0.5000  2 Os 2.67, 8 Rh 2.67, 2 Cr 2.70
Os  0.5000  0.5000  0.0000  8 Rh 2.64-2.65, 2 Os 2.67
Cr  0.0000  0.0000  0.0000  8 Rh 2.67, 2 Os 2.70

D(E_F): 6.82 states/eV per cell
energy relative to the elements: 235 meV per atom

Entry from Alexandria via LeMat-Bulk: a relaxed structure of Cr2OsRh (GGA-PBE).

abc: 3.9980 2.6735 5.0583
angles: 74.70 90.00 90.00
Closest atoms and distances in Å follow each position.
Positions (direct):
Cr  0.0000  0.1863  0.0022  2 Cr 2.34
Cr  0.5000  0.0620  0.2514  2 Cr 2.34, 1 Rh 2.59, 4 Os 2.62
Os  0.0000  0.4554  0.4648  7 Cr 2.62, 2 Os 2.67, 4 Rh 2.86
Rh  0.5000  0.7963  0.7815  7 Cr 2.59-2.65, 2 Rh 2.67, 4 Os 2.86

D(E_F): 4.58 states/eV per cell
relative energy among the computed polymorphs: 17 meV per atom
energy relative to the elements: 43 meV per atom

Entry from Alexandria via LeMat-Bulk: a relaxed structure of Cr2Os2Rh (GGA-PBE).

abc: 7.1165 7.1165 2.7484
angles: 90.00 90.00 90.00
Closest atoms and distances in Å follow each position.
Positions (direct):
Os  0.1329  0.3671  0.0000  6 Cr 2.45-2.54, 1 Os 2.68
Cr  0.8345  0.3345  0.5000  6 Os 2.45-2.54
Cr  0.6655  0.8345  0.5000  6 Os 2.45-2.54
Rh  0.5000  0.5000  0.0000  2 Rh 2.75, 4 Os 2.78, 8 Cr 2.99
Os  0.3671  0.8671  0.0000  6 Cr 2.45-2.54, 1 Os 2.68
Cr  0.1655  0.6655  0.5000  6 Os 2.45-2.54
Cr  0.3345  0.1655  0.5000  6 Os 2.45-2.54
Os  0.8671  0.6329  0.0000  6 Cr 2.45-2.54, 1 Os 2.68
Os  0.6329  0.1329  0.0000  6 Cr 2.45-2.54, 1 Os 2.68
Rh  0.0000  0.0000  0.0000  2 Rh 2.75, 4 Os 2.78, 8 Cr 2.99

D(E_F): 9.73 states/eV per cell
relative energy among the computed polymorphs: 7 meV per atom
energy relative to the elements: 191 meV per atom

Entry from Alexandria via LeMat-Bulk: a relaxed structure of Cr4OsRh (GGA-PBE).

abc: 4.7221 4.7221 4.7221
angles: 60.00 60.00 60.00
Closest atoms and distances in Å follow each position.
Positions (direct):
Cr  0.6250  0.6250  0.6250  6 Cr 2.36
Cr  0.6250  0.6250  0.1250  6 Cr 2.36
Cr  0.6250  0.1250  0.6250  6 Cr 2.36
Rh  0.0000  0.0000  0.0000  12 Cr 2.77, 4 Os 2.89
Os  0.2500  0.2500  0.2500  12 Cr 2.77, 4 Rh 2.89
Cr  0.1250  0.6250  0.6250  6 Cr 2.36

D(E_F): 5.36 states/eV per cell
energy relative to the elements: -19 meV per atom

Entry from Alexandria via LeMat-Bulk: a relaxed structure of CrOs2Ru4Rh (GGA-PBE).

abc: 7.4025 7.4025 5.3026
angles: 111.06 111.06 88.19
Closest atoms and distances in Å follow each position.
Positions (direct):
Ru  0.7333  0.7669  0.9964  3 Os 2.40-2.67, 2 Ru 2.61-2.69, 2 Cr 2.65
Ru  0.2669  0.2333  0.4964  3 Os 2.40-2.67, 2 Ru 2.61-2.69, 2 Cr 2.65
Ru  0.2247  0.7729  0.4993  1 Os 2.33
Ru  0.7753  0.2271  0.5007  1 Os 2.33
Os  0.5000  0.0000  0.0000  6 Ru 2.40-2.68, 2 Os 2.65
Ru  0.7271  0.2753  0.0007  1 Os 2.33
Cr  0.0000  0.0000  0.0000  6 Ru 2.65-2.82, 2 Os 2.65
Rh  0.0000  0.5000  0.0000  2 Rh 2.65, 6 Ru 2.66-2.75
Os  0.5000  0.5000  0.0000  2 Ru 2.33
Ru  0.7331  0.7667  0.5036  3 Os 2.40-2.67, 2 Ru 2.61-2.69, 2 Cr 2.65
Ru  0.2667  0.2331  0.0036  3 Os 2.40-2.67, 2 Ru 2.61-2.69, 2 Cr 2.65
Os  0.0000  0.0000  0.5000  2 Ru 2.33
Cr  0.5000  0.5000  0.5000  6 Ru 2.65-2.82, 2 Os 2.65
Rh  0.0000  0.5000  0.5000  2 Rh 2.65, 6 Ru 2.66-2.75
Ru  0.2729  0.7247  0.9993  1 Os 2.33
Os  0.5000  0.0000  0.5000  6 Ru 2.40-2.68, 2 Os 2.65

D(E_F): 22.90 states/eV per cell
energy relative to the elements: 792 meV per atom

Number 9 is which compound?
Cr2OsRh

energy relative to the elements of number 2 (Cr2OsRh8)?
236 meV per atom

Which of these has the highest D(E_F)?
CrOs2Ru4Rh

Look up the energy relative to the elements of the fourth one.
81 meV per atom